Below is a relaxed LaCeThMg crystal, with properties calculated at the GGA-PBE level.

Cell: 5.537 5.537 5.537 Å, 60.00 60.00 60.00°
Atoms (fractional coordinates):
Mg  0.000  0.000  0.000
Ce  0.500  0.500  0.500
Th  0.250  0.250  0.250
La  0.750  0.750  0.750

Its crystal system is cubic. As for the energy relative to the elements: 0.65 eV/f.u. Its density of states at the Fermi level is 8.473 states/eV per cell. For the total magnetization, the calculation gives 0.02 μB/f.u. As for the space group: F-43m, No. 216.